No. 1
VASP calculation (PBE-GGA) on crystalline BaMnTl2Cl6 at its relaxed geometry.

- Total energy: -41.6 eV per formula unit
- Magnetization: 10.00 μB/cell
- SG: P2_1/c
- DOS(E_F): 0.000 states/eV/f.u.
- Formation energy without anion corrections: -33.8 kcal/mol of atoms

```
20
Lattice="7.458 0.000 -0.093 0.000 7.789 0.000 -0.070 0.000 10.743" Properties=species:S:1:pos:R:3 pbc="T T T"
Cl 2.055 5.282 0.553
Cl 1.639 1.387 4.773
Cl 5.748 6.402 5.878
Cl 0.748 3.653 8.331
Cl 2.415 5.627 4.715
Cl 4.512 0.241 2.913
Cl 1.279 1.732 0.610
Cl 2.875 7.548 7.737
Cl 4.973 2.163 5.935
Cl 6.639 4.136 2.319
Cl 5.333 2.508 10.098
Cl 6.108 6.057 10.040
Mn 3.694 0.000 5.325
Mn 0.000 3.895 0.000
Tl 3.529 3.367 2.686
Tl 0.164 7.261 2.639
Tl 7.223 0.528 8.011
Tl 3.858 4.423 7.964
Ba 3.729 0.000 -0.046
Ba -0.035 3.895 5.371
```


No. 2
VASP calculation (PBE-GGA) on crystalline BaMnTlCl5 at its relaxed geometry.

- Total energy: -35.4 eV per formula unit
- Magnetization: 10.00 μB/cell
- SG: C2/c
- DOS(E_F): 0.000 states/eV/f.u.
- Formation energy without anion corrections: -36.7 kcal/mol of atoms

```
16
Lattice="7.894 -0.021 -0.018 -2.325 7.544 -0.018 -2.351 -3.175 9.965" Properties=species:S:1:pos:R:3 pbc="T T T"
Cl 0.780 2.521 9.175
Cl 3.359 3.069 4.193
Cl -2.940 2.281 8.426
Cl -1.800 5.926 2.474
Cl -0.141 1.278 5.737
Cl -0.997 4.906 6.487
Cl 6.158 2.066 1.504
Cl 5.018 -1.579 7.456
Cl 2.439 1.826 0.754
Cl 4.215 -0.558 3.443
Tl 2.569 0.234 7.456
Tl 0.649 4.113 2.474
Ba 0.000 0.000 0.000
Ba -1.175 -1.588 4.982
Mn -0.830 2.750 7.456
Mn 4.048 1.597 2.474
```


No. 3
VASP calculation (PBE-GGA) on crystalline BaMnZnCl6 at its relaxed geometry.

- Total energy: -37.4 eV per formula unit
- Magnetization: 5.00 μB/cell
- SG: P312
- DOS(E_F): 0.000 states/eV/f.u.
- Formation energy without anion corrections: -35.7 kcal/mol of atoms

```
9
Lattice="-1.414 -6.187 1.748 3.319 -2.875 4.904 -4.511 2.269 4.384" Properties=species:S:1:pos:R:3 pbc="T T T"
Cl -0.066 -0.451 3.085
Cl 0.253 -3.440 4.961
Cl -1.158 -0.205 6.195
Cl -2.869 -3.305 6.040
Cl -2.155 -3.223 2.370
Cl -3.727 -0.693 3.804
Mn -0.985 -4.907 6.626
Ba -5.925 -3.918 6.131
Zn -1.620 -1.886 4.409
```


No. 4
VASP calculation (PBE-GGA) on crystalline BaMo2Cl at its relaxed geometry.

- Total energy: -22.2 eV per formula unit
- Energy above the most stable polymorph in this dataset: 3.142 eV/f.u.
- Magnetization: 0.00 μB/cell
- SG: Pmmm
- DOS(E_F): 3.530 states/eV/f.u.
- Formation energy without anion corrections: 18.7 kcal/mol of atoms

```
4
Lattice="-0.062 -3.437 -0.607 5.445 0.390 -2.769 2.655 -0.947 5.088" Properties=species:S:1:pos:R:3 pbc="T T T"
Cl 4.683 -2.234 2.127
Mo 1.135 -0.405 2.176
Mo 0.192 -0.069 0.368
Ba 3.355 -1.760 -0.416
```


No. 5
VASP calculation (PBE-GGA) on crystalline BaMo2Cl at its relaxed geometry.

- Total energy: -20.6 eV per formula unit
- Energy above the most stable polymorph in this dataset: 4.726 eV/f.u.
- Magnetization: 0.01 μB/cell
- SG: Cmmm
- DOS(E_F): 5.410 states/eV/f.u.
- Formation energy without anion corrections: 27.8 kcal/mol of atoms

```
4
Lattice="-2.122 -1.882 -1.221 1.760 -0.946 2.354 -6.854 3.492 6.529" Properties=species:S:1:pos:R:3 pbc="T T T"
Mo -3.710 1.890 3.534
Mo -6.571 3.348 6.259
Cl -5.321 1.205 5.463
Ba -1.894 -0.541 2.199
```


No. 6
VASP calculation (PBE-GGA) on crystalline Ba3MoCl at its relaxed geometry.

- Total energy: -17.7 eV per formula unit
- Energy above the most stable polymorph in this dataset: 0.000 eV/f.u.
- Magnetization: 3.15 μB/cell
- SG: Pm-3m
- DOS(E_F): 6.539 states/eV/f.u.
- Formation energy without anion corrections: 3.5 kcal/mol of atoms

```
5
Lattice="6.046 0.000 0.000 0.000 6.046 0.000 0.000 0.000 6.046" Properties=species:S:1:pos:R:3 pbc="T T T"
Cl 0.000 0.000 0.000
Ba 0.000 3.023 0.000
Ba 0.000 0.000 3.023
Ba 3.023 0.000 0.000
Mo 3.023 3.023 3.023
```


No. 7
VASP calculation (PBE-GGA) on crystalline Ba2MoCl at its relaxed geometry.

- Total energy: -16.6 eV per formula unit
- Energy above the most stable polymorph in this dataset: 0.142 eV/f.u.
- Magnetization: 2.87 μB/cell
- SG: Pmmm
- DOS(E_F): 4.020 states/eV/f.u.
- Formation energy without anion corrections: -0.5 kcal/mol of atoms

```
4
Lattice="-0.474 -2.707 2.837 4.499 -2.423 -1.560 3.388 3.672 4.070" Properties=species:S:1:pos:R:3 pbc="T T T"
Mo 4.977 0.648 4.199
Ba 3.283 -1.188 2.164
Ba 2.965 3.213 3.561
Cl 1.271 1.377 1.527
```


No. 8
VASP calculation (PBE-GGA) on crystalline BaMo4Cl at its relaxed geometry.

- Total energy: -40.4 eV per formula unit
- Magnetization: 0.00 μB/cell
- SG: F-43m
- DOS(E_F): 6.400 states/eV/f.u.
- Formation energy without anion corrections: 25.6 kcal/mol of atoms

```
6
Lattice="-2.901 -2.649 3.978 -3.879 2.756 2.935 -5.420 -1.131 -0.776" Properties=species:S:1:pos:R:3 pbc="T T T"
Mo -4.608 -0.387 2.318
Mo -6.505 0.961 3.754
Mo -7.259 -0.940 1.938
Mo -6.027 -1.682 4.264
Cl 0.000 0.000 0.000
Ba -9.150 -0.768 4.603
```


No. 9
VASP calculation (PBE-GGA) on crystalline Ba2MoCl at its relaxed geometry.

- Total energy: -14.2 eV per formula unit
- Energy above the most stable polymorph in this dataset: 2.601 eV/f.u.
- Magnetization: 3.34 μB/cell
- SG: F-43m
- DOS(E_F): 4.018 states/eV/f.u.
- Formation energy without anion corrections: 13.6 kcal/mol of atoms

```
4
Lattice="-1.375 -5.392 1.254 -1.213 -3.681 -4.185 3.630 -4.227 -1.221" Properties=species:S:1:pos:R:3 pbc="T T T"
Ba 0.261 -3.325 -1.038
Ba 0.000 0.000 0.000
Cl 0.521 -6.650 -2.076
Mo 0.782 -9.975 -3.114
```


No. 10
VASP calculation (PBE-GGA) on crystalline Ba2MoCl at its relaxed geometry.

- Total energy: -16.8 eV per formula unit
- Energy above the most stable polymorph in this dataset: 0.000 eV/f.u.
- Magnetization: 2.84 μB/cell
- SG: P2/m
- DOS(E_F): 4.187 states/eV/f.u.
- Formation energy without anion corrections: -1.3 kcal/mol of atoms

```
4
Lattice="3.846 0.000 0.000 0.000 3.851 0.103 0.000 3.261 8.904" Properties=species:S:1:pos:R:3 pbc="T T T"
Mo 1.923 5.334 6.756
Ba 0.000 3.574 4.569
Ba 0.000 3.243 8.839
Cl 1.923 1.778 2.252
```


No. 11
VASP calculation (PBE-GGA) on crystalline BaMo2Cl at its relaxed geometry.

- Total energy: -24.2 eV per formula unit
- Energy above the most stable polymorph in this dataset: 1.175 eV/f.u.
- Magnetization: 0.00 μB/cell
- SG: P2/m
- DOS(E_F): 2.975 states/eV/f.u.
- Formation energy without anion corrections: 7.3 kcal/mol of atoms

```
4
Lattice="-1.594 0.474 -6.615 1.278 -3.096 -0.530 -4.370 -1.947 0.913" Properties=species:S:1:pos:R:3 pbc="T T T"
Ba -1.570 -1.024 -3.211
Mo -1.177 -2.393 0.112
Mo 0.908 -3.225 -0.450
Cl -3.116 -3.545 -3.020
```


No. 12
VASP calculation (PBE-GGA) on crystalline BaMo2Cl at its relaxed geometry.

- Total energy: -18.8 eV per formula unit
- Energy above the most stable polymorph in this dataset: 6.574 eV/f.u.
- Magnetization: 0.00 μB/cell
- SG: Fm-3m
- DOS(E_F): 5.494 states/eV/f.u.
- Formation energy without anion corrections: 38.5 kcal/mol of atoms

```
4
Lattice="0.000 3.407 3.407 3.407 0.000 3.407 3.407 3.407 0.000" Properties=species:S:1:pos:R:3 pbc="T T T"
Ba 3.407 3.407 3.407
Cl 0.000 0.000 0.000
Mo 1.704 1.704 1.704
Mo 5.111 5.111 5.111
```


Number 4 is which compound?
BaMo2Cl


Among the records above, which one has the highest DOS(E_F)?
Ba3MoCl


What is the DOS(E_F) in the ninth record?
4.018 states/eV/f.u.